Density functional theory data (PBE) for a relaxed Sc2Pt3Rh crystal.

Output
**VASP energy**: -7.196 eV per atom
**Mass density**: 12.15 g/cm3
**Fermi-level density of states**: 6.1 states/eV/f.u.
**Energy of formation from the pure elements**: -0.8402 eV per atom

Geometry as CIF:
```
data_Sc2Pt3Rh
_cell_length_a 5.646
_cell_length_b 13.367
_cell_length_c 5.635
_cell_angle_alpha 90.00
_cell_angle_beta 90.00
_cell_angle_gamma 90.00
_space_group_name_H-M_alt 'I b a m'
_space_group_IT_number 72
_space_group_name_Hall '-I 2 2c'
loop_
_atom_site_label
_atom_site_fract_x
_atom_site_fract_y
_atom_site_fract_z
_atom_site_occupancy
Sc1 0.246 0.162 0.000 1
Pt1 0.000 0.000 0.250 1
Pt2 0.242 0.357 0.000 1
Rh1 0.000 0.500 0.250 1
```

Density functional theory data (PBE) for a relaxed Dy6GaRu2 crystal.

Output
**VASP energy**: -5.854 eV per atom
**Mass density**: 9.16 g/cm3
**Fermi-level density of states**: 8.1 states/eV/f.u.
**Energy of formation from the pure elements**: -0.3888 eV per atom

Geometry as CIF:
```
data_Dy6GaRu2
_cell_length_a 9.296
_cell_length_b 9.406
_cell_length_c 10.341
_cell_angle_alpha 90.00
_cell_angle_beta 90.00
_cell_angle_gamma 90.00
_space_group_name_H-M_alt 'I m m m'
_space_group_IT_number 71
_space_group_name_Hall '-I 2 2'
loop_
_atom_site_label
_atom_site_fract_x
_atom_site_fract_y
_atom_site_fract_z
_atom_site_occupancy
Dy1 0.000 0.197 0.242 1
Dy2 0.189 0.500 0.169 1
Dy3 0.219 0.320 0.500 1
Ga1 0.000 0.000 0.000 1
Ga2 0.000 0.000 0.500 1
Ru1 0.000 0.322 0.000 1
Ru2 0.000 0.500 0.372 1
```

Density functional theory data (PBE) for a relaxed Th3HgAu3 crystal.

Output
**VASP energy**: -4.943 eV per atom
**Mass density**: 11.57 g/cm3
**Fermi-level density of states**: 9.0 states/eV/f.u.
**Energy of formation from the pure elements**: -0.3158 eV per atom
**Polymorph energy (0 for the lowest one)**: 0.209 eV/atom

Geometry as CIF:
```
data_Th3HgAu3
_cell_length_a 9.1918
_cell_length_b 9.1918
_cell_length_c 5.8364
_cell_angle_alpha 90.00
_cell_angle_beta 90.00
_cell_angle_gamma 120.00
_space_group_name_H-M_alt 'P 63/m'
_space_group_IT_number 176
_space_group_name_Hall '-P 6c'
loop_
_atom_site_label
_atom_site_fract_x
_atom_site_fract_y
_atom_site_fract_z
_atom_site_occupancy
Th1 0.0267 0.6828 0.2500 1
Hg1 0.3333 0.6667 0.7500 1
Au1 0.0177 0.6753 0.7500 1
```

Density functional theory data (PBE) for a relaxed Ca2LaRu crystal.

Output
**VASP energy**: -4.312 eV per atom
**Mass density**: 4.55 g/cm3
**Fermi-level density of states**: 5.9 states/eV/f.u.
**Energy of formation from the pure elements**: 0.2394 eV per atom
**Polymorph energy (0 for the lowest one)**: 0.392 eV/atom

Geometry as CIF:
```
data_Ca2LaRu
_cell_length_a 4.888
_cell_length_b 4.907
_cell_length_c 9.753
_cell_angle_alpha 90.00
_cell_angle_beta 90.00
_cell_angle_gamma 90.00
_space_group_name_H-M_alt 'C m m m'
_space_group_IT_number 65
_space_group_name_Hall '-C 2 2'
loop_
_atom_site_label
_atom_site_fract_x
_atom_site_fract_y
_atom_site_fract_z
_atom_site_occupancy
Ca1 0.000 0.000 0.171 1
La1 0.000 0.500 0.500 1
Ru1 0.000 0.500 0.000 1
```

Density functional theory data (PBE) for a relaxed AcAgGeAu crystal.

Output
**VASP energy**: -4.084 eV per atom
**Mass density**: 10.36 g/cm3
**Fermi-level density of states**: 2.5 states/eV/f.u.
**Energy of formation from the pure elements**: -0.3707 eV per atom

Geometry as CIF:
```
data_AcAgGeAu
_cell_length_a 7.291
_cell_length_b 7.291
_cell_length_c 7.291
_cell_angle_alpha 90.00
_cell_angle_beta 90.00
_cell_angle_gamma 90.00
_space_group_name_H-M_alt 'F -4 3 m'
_space_group_IT_number 216
_space_group_name_Hall 'F -4 2 3'
loop_
_atom_site_label
_atom_site_fract_x
_atom_site_fract_y
_atom_site_fract_z
_atom_site_occupancy
Ac1 0.000 0.000 0.000 1
Ag1 0.000 0.000 0.500 1
Ge1 0.250 0.250 0.250 1
Au1 0.250 0.250 0.750 1
```

Density functional theory data (PBE) for a relaxed ScCuW2 crystal.

Output
**VASP energy**: -8.749 eV per atom
**Mass density**: 11.98 g/cm3
**Fermi-level density of states**: 2.9 states/eV/f.u.
**Energy of formation from the pure elements**: 0.3346 eV per atom
**Polymorph energy (0 for the lowest one)**: 0.177 eV/atom

Geometry as CIF:
```
data_ScCuW2
_cell_length_a 9.269
_cell_length_b 2.761
_cell_length_c 5.195
_cell_angle_alpha 90.00
_cell_angle_beta 96.81
_cell_angle_gamma 90.00
_space_group_name_H-M_alt 'C 1 m 1'
_space_group_IT_number 8
loop_
_space_group_symop_operation_xyz
'x,y,z'
'x,-y,z'
'x+1/2,y+1/2,z'
'x+1/2,-y+1/2,z'
loop_
_atom_site_label
_atom_site_fract_x
_atom_site_fract_y
_atom_site_fract_z
_atom_site_occupancy
Sc1 0.000 0.000 0.000 1
Cu1 0.247 0.500 0.213 1
W1 0.233 0.000 0.700 1
W2 0.475 0.000 0.491 1
```

Density functional theory data (PBE) for a relaxed AgRu2Au crystal.

Output
**VASP energy**: -5.646 eV per atom
**Mass density**: 12.98 g/cm3
**Fermi-level density of states**: 4.0 states/eV/f.u.
**Energy of formation from the pure elements**: 0.5241 eV per atom
**Polymorph energy (0 for the lowest one)**: 0.311 eV/atom

Geometry as CIF:
```
data_AgRu2Au
_cell_length_a 2.831
_cell_length_b 4.783
_cell_length_c 9.582
_cell_angle_alpha 90.00
_cell_angle_beta 90.00
_cell_angle_gamma 90.00
_space_group_name_H-M_alt 'I m m 2'
_space_group_IT_number 44
loop_
_space_group_symop_operation_xyz
'x,y,z'
'-x,-y,z'
'-x,y,z'
'x,-y,z'
'x+1/2,y+1/2,z+1/2'
'-x+1/2,-y+1/2,z+1/2'
'-x+1/2,y+1/2,z+1/2'
'x+1/2,-y+1/2,z+1/2'
loop_
_atom_site_label
_atom_site_fract_x
_atom_site_fract_y
_atom_site_fract_z
_atom_site_occupancy
Ag1 0.000 0.000 0.000 1
Ru1 0.000 0.000 0.525 1
Ru2 0.000 0.500 0.238 1
Au1 0.000 0.500 0.767 1
```

Density functional theory data (PBE) for a relaxed MgTl2Os crystal.

Output
**VASP energy**: -3.918 eV per atom
**Mass density**: 11.64 g/cm3
**Fermi-level density of states**: 3.4 states/eV/f.u.
**Energy of formation from the pure elements**: 0.4710 eV per atom
**Polymorph energy (0 for the lowest one)**: 0.002 eV/atom

Geometry as CIF:
```
data_MgTl2Os
_cell_length_a 3.202
_cell_length_b 3.193
_cell_length_c 8.825
_cell_angle_alpha 90.00
_cell_angle_beta 99.91
_cell_angle_gamma 90.00
_space_group_name_H-M_alt 'P 1 m 1'
_space_group_IT_number 6
loop_
_space_group_symop_operation_xyz
'x,y,z'
'x,-y,z'
loop_
_atom_site_label
_atom_site_fract_x
_atom_site_fract_y
_atom_site_fract_z
_atom_site_occupancy
Mg1 0.000 0.000 0.000 1
Tl1 0.183 0.000 0.385 1
Tl2 0.375 0.500 0.720 1
Os1 0.583 0.500 0.174 1
```

Density functional theory data (PBE) for a relaxed Zn3Te2 crystal.

Output
**VASP energy**: -2.125 eV per atom
**Mass density**: 4.75 g/cm3

Geometry as CIF:
```
data_Zn3Te2
_cell_length_a 4.3220
_cell_length_b 4.3220
_cell_length_c 9.7501
_cell_angle_alpha 90.00
_cell_angle_beta 90.00
_cell_angle_gamma 120.00
_space_group_name_H-M_alt 'P -3 m 1'
_space_group_IT_number 164
_space_group_name_Hall '-P 3 2"'
loop_
_atom_site_label
_atom_site_fract_x
_atom_site_fract_y
_atom_site_fract_z
_atom_site_occupancy
Zn1 0.0000 0.0000 0.0000 1
Zn2 0.3333 0.6667 0.4059 1
Te1 0.3333 0.6667 0.6952 1
```

Density functional theory data (PBE) for a relaxed Mg2TlBr crystal.

Output
**VASP energy**: -2.015 eV per atom
**Mass density**: 5.17 g/cm3
**Fermi-level density of states**: 1.2 states/eV/f.u.
**Polymorph energy (0 for the lowest one)**: 0.157 eV/atom

Geometry as CIF:
```
data_Mg2TlBr
_cell_length_a 4.386
_cell_length_b 4.386
_cell_length_c 11.115
_cell_angle_alpha 90.00
_cell_angle_beta 90.00
_cell_angle_gamma 90.00
_space_group_name_H-M_alt 'I -4 m 2'
_space_group_IT_number 119
_space_group_name_Hall 'I -4 -2'
loop_
_atom_site_label
_atom_site_fract_x
_atom_site_fract_y
_atom_site_fract_z
_atom_site_occupancy
Mg1 0.000 0.000 0.000 1
Mg2 0.000 0.500 0.250 1
Tl1 0.000 0.500 0.750 1
Br1 0.000 0.000 0.500 1
```

Copy entry 1 word for word.
Density functional theory data (PBE) for a relaxed Sc2Pt3Rh crystal.

Output
**VASP energy**: -7.196 eV per atom
**Mass density**: 12.15 g/cm3
**Fermi-level density of states**: 6.1 states/eV/f.u.
**Energy of formation from the pure elements**: -0.8402 eV per atom

Geometry as CIF:
```
data_Sc2Pt3Rh
_cell_length_a 5.646
_cell_length_b 13.367
_cell_length_c 5.635
_cell_angle_alpha 90.00
_cell_angle_beta 90.00
_cell_angle_gamma 90.00
_space_group_name_H-M_alt 'I b a m'
_space_group_IT_number 72
_space_group_name_Hall '-I 2 2c'
loop_
_atom_site_label
_atom_site_fract_x
_atom_site_fract_y
_atom_site_fract_z
_atom_site_occupancy
Sc1 0.246 0.162 0.000 1
Pt1 0.000 0.000 0.250 1
Pt2 0.242 0.357 0.000 1
Rh1 0.000 0.500 0.250 1
```

> The lowest mass density belongs to which entry?

Ca2LaRu

> Which of these has the lowest VASP energy?

ScCuW2